This record from Alexandria via LeMat-Bulk describes a geometry-optimized Pm2Bi2Se7 structure. The functional is PBE-GGA.

## Properties
total DFT energy (no corrections)	-49.847	eV/f.u.
total magnetization	0.00	μB per formula unit
calculated volume	343	Å³/cell
formation energy from raw total energies	-8.2	eV per formula unit

Lattice parameters (Å, degrees): 7.382 6.307 7.382 89.99 93.58 90.01
Fractional coordinates of all 11 atoms:
Se: 0.500 0.249 0.500
Se: 0.500 0.751 0.500
Se: 0.000 0.000 0.000
Se: 0.000 0.733 0.500
Se: 0.000 0.267 0.500
Se: 0.500 0.733 0.000
Se: 0.500 0.267 0.000
Bi: 0.262 0.000 0.738
Bi: 0.738 0.000 0.262
Pm: 0.736 0.500 0.736
Pm: 0.264 0.500 0.264